# ScCr2Pt meta-GGA SCAN single point on PBEsol structure
# - energy relative to the elements (eV per atom) = -0.124
data_ScCr2Pt
_chemical_formula_sum 'Sc2 Cr4 Pt2'
_space_group_name_H-M_alt 'I 4/m m m'
_space_group_IT_number 139
_space_group_name_Hall '-I 4 2'
_cell_length_a 3.645
_cell_length_b 3.645
_cell_length_c 8.601
_cell_angle_alpha 90.00
_cell_angle_beta 90.00
_cell_angle_gamma 90.00
loop_
_atom_site_label
_atom_site_type_symbol
_atom_site_fract_x
_atom_site_fract_y
_atom_site_fract_z
_atom_site_occupancy
Sc1 Sc 0.000 0.000 0.000 1
Cr1 Cr 0.000 0.500 0.250 1
Pt1 Pt 0.000 0.000 0.500 1


# TaInGe3 meta-GGA SCAN single point on PBEsol structure
# - energy relative to the elements (eV per atom) = 0.394
data_TaInGe3
_chemical_formula_sum 'Ta1 In1 Ge3'
_space_group_name_H-M_alt 'P m -3 m'
_space_group_IT_number 221
_space_group_name_Hall '-P 4 2 3'
_cell_length_a 4.994
_cell_length_b 4.994
_cell_length_c 4.994
_cell_angle_alpha 90.00
_cell_angle_beta 90.00
_cell_angle_gamma 90.00
loop_
_atom_site_label
_atom_site_type_symbol
_atom_site_fract_x
_atom_site_fract_y
_atom_site_fract_z
_atom_site_occupancy
Ta1 Ta 0.000 0.000 0.000 1
In1 In 0.500 0.500 0.500 1
Ge1 Ge 0.000 0.000 0.500 1


Repeat the second record exactly.
# TaInGe3 meta-GGA SCAN single point on PBEsol structure
# - energy relative to the elements (eV per atom) = 0.394
data_TaInGe3
_chemical_formula_sum 'Ta1 In1 Ge3'
_space_group_name_H-M_alt 'P m -3 m'
_space_group_IT_number 221
_space_group_name_Hall '-P 4 2 3'
_cell_length_a 4.994
_cell_length_b 4.994
_cell_length_c 4.994
_cell_angle_alpha 90.00
_cell_angle_beta 90.00
_cell_angle_gamma 90.00
loop_
_atom_site_label
_atom_site_type_symbol
_atom_site_fract_x
_atom_site_fract_y
_atom_site_fract_z
_atom_site_occupancy
Ta1 Ta 0.000 0.000 0.000 1
In1 In 0.500 0.500 0.500 1
Ge1 Ge 0.000 0.000 0.500 1